The following is a DFT calculation (GGA-PBE) of a geometry-optimized BaMo2Ru structure.

Computed properties:
The calculation puts the relative energy among the computed polymorphs at 2.47 eV per formula unit. The total energy comes out at -6.955 eV per atom. The value obtained for the formation energy is 1.260 eV/atom.

Unit cell a=3.2220 b=4.8395 c=4.9486 alpha=90.00 beta=90.00 gamma=90.00
Fractional coordinates of all 4 atoms:
1 Ba 0.0000 0.5000 0.5000
2 Mo 0.0000 0.0000 0.0000
3 Mo 0.5000 0.5000 0.0000
4 Ru 0.5000 0.0000 0.5000

=====

The following is a DFT calculation (GGA-PBE) of a geometry-optimized Nb2CdSb2 structure.

Computed properties:
The calculation puts the uncorrected formation energy at -0.4 eV per formula unit. The calculation puts the relative energy among the computed polymorphs at 0.00 eV per formula unit. The total energy comes out at -5.947 eV per atom.

Unit cell a=7.7001 b=7.7001 c=3.6258 alpha=90.00 beta=90.00 gamma=90.00
Fractional coordinates of all 10 atoms:
1 Sb 0.1531 0.6531 0.5000
2 Sb 0.6531 0.8469 0.5000
3 Sb 0.8469 0.3469 0.5000
4 Sb 0.3469 0.1531 0.5000
5 Nb 0.3610 0.8610 0.0000
6 Nb 0.8610 0.6390 0.0000
7 Nb 0.6390 0.1390 0.0000
8 Nb 0.1390 0.3610 0.0000
9 Cd 0.0000 0.0000 0.0000
10 Cd 0.5000 0.5000 0.0000

=====

The following is a DFT calculation (GGA-PBE) of a geometry-optimized MgTe3W structure.

Computed properties:
The calculation puts the uncorrected formation energy at 2.5 eV per formula unit. The calculation puts the relative energy among the computed polymorphs at 0.00 eV per formula unit. The total energy comes out at -4.303 eV per atom.

Unit cell a=5.3532 b=5.3532 c=5.3532 alpha=90.00 beta=90.00 gamma=90.00
Fractional coordinates of all 5 atoms:
1 Mg 0.5000 0.5000 0.5000
2 Te 0.0000 0.5000 0.0000
3 Te 0.0000 0.0000 0.5000
4 Te 0.5000 0.0000 0.0000
5 W 0.0000 0.0000 0.0000

=====

The following is a DFT calculation (GGA-PBE) of a geometry-optimized Pm5Sm2Dy4 structure.

Computed properties:
The calculation puts the relative energy among the computed polymorphs at 0.00 eV per formula unit. The total energy comes out at -4.620 eV per atom. The value obtained for the formation energy is 0.071 eV/atom.

Unit cell a=3.5528 b=11.6858 c=9.0614 alpha=93.94 beta=101.31 gamma=90.00
Fractional coordinates of all 11 atoms:
1 Pm 0.9043 0.4642 0.8086
2 Pm 0.0957 0.5358 0.1914
3 Pm 0.8237 0.9306 0.6473
4 Pm 0.5000 0.0000 0.0000
5 Pm 0.1763 0.0694 0.3527
6 Sm 0.7161 0.3521 0.4323
7 Sm 0.2839 0.6479 0.5677
8 Dy 0.3598 0.2032 0.7196
9 Dy 0.9664 0.7413 0.9327
10 Dy 0.6402 0.7968 0.2804
11 Dy 0.0336 0.2587 0.0673

=====

The following is a DFT calculation (GGA-PBE) of a geometry-optimized Nd5Pt2Pb structure.

Computed properties:
The total energy comes out at -5.725 eV per atom. The value obtained for the formation energy is -0.771 eV/atom.

Unit cell a=8.1248 b=8.1248 c=9.0354 alpha=116.72 beta=116.72 gamma=90.00
Fractional coordinates of all 16 atoms:
1 Nd 0.5216 0.7040 0.7255
2 Nd 0.7960 0.9784 0.2745
3 Nd 0.0000 0.0000 0.0000
4 Nd 0.5000 0.5000 0.0000
5 Nd 0.2040 0.0216 0.7255
6 Nd 0.7040 0.2040 0.7255
7 Nd 0.0216 0.5216 0.7255
8 Nd 0.2960 0.7960 0.2745
9 Nd 0.9784 0.4784 0.2745
10 Nd 0.4784 0.2960 0.2745
11 Pt 0.1353 0.3647 0.0000
12 Pt 0.6353 0.1353 0.0000
13 Pt 0.3647 0.8647 0.0000
14 Pt 0.8647 0.6353 0.0000
15 Pb 0.7500 0.7500 0.5000
16 Pb 0.2500 0.2500 0.5000

=====

The following is a DFT calculation (GGA-PBE) of a geometry-optimized Nb2ReRu2 structure.

Computed properties:
The total energy comes out at -10.106 eV per atom. The value obtained for the formation energy is 0.121 eV/atom.

Unit cell a=7.3403 b=7.3403 c=3.0191 alpha=90.00 beta=90.00 gamma=90.00
Fractional coordinates of all 10 atoms:
1 Re 0.0000 0.0000 0.0000
2 Re 0.5000 0.5000 0.0000
3 Nb 0.1703 0.6703 0.5000
4 Nb 0.6703 0.8297 0.5000
5 Nb 0.8297 0.3297 0.5000
6 Nb 0.3297 0.1703 0.5000
7 Ru 0.3677 0.8677 0.0000
8 Ru 0.8677 0.6323 0.0000
9 Ru 0.6323 0.1323 0.0000
10 Ru 0.1323 0.3677 0.0000